Entry from OQMD: a relaxed structure of Cs4Rb2ZnCoO5 (PBE with a Hubbard U).

Lattice parameters (Å, degrees): 7.298 12.173 7.156 90.00 94.91 90.00
Space group Cm (No. 8)
Symmetry-distinct sites (fractional):
Cs 0.000 0.000 0.000 (multiplicity 2)
Cs 0.155 0.261 0.305 (multiplicity 4)
Cs 0.309 0.000 0.628 (multiplicity 2)
Rb 0.156 0.284 0.809 (multiplicity 4)
Zn 0.471 0.000 0.109 (multiplicity 2)
Co 0.362 0.500 0.502 (multiplicity 2)
O 0.199 0.500 0.270 (multiplicity 2)
O 0.365 0.135 0.021 (multiplicity 4)
O 0.441 0.367 0.594 (multiplicity 4)

Values from the calculation:
DFT total energy in eV per atom: -3.978